The following is a PBE+U calculation of a relaxed structure of Ca2LaFeO, from Alexandria via LeMat-Bulk.

Values from the calculation:
Its magnetic moment is 2.4 μB per cell. The value obtained for the total energy is -22.2 eV/cell. Its density of states at the Fermi level is 5.33 states/eV/f.u.

Geometry as POSCAR:
```
Ca2LaFeO
1.0
4.622 0.000 0.000
0.000 4.622 0.000
0.000 0.000 6.375
Ca La Fe O
2 1 1 1
Direct
0.000 0.500 0.000 Ca
0.500 0.000 0.000 Ca
0.000 0.000 0.500 La
0.500 0.500 0.500 Fe
0.500 0.500 0.000 O
```